TcMoH2, optimized geometry, DFT PBE; ρ = 9.08 g/cm3; energy = -27.0 eV/f.u.; space group = R3m (160)
1.0
1.432 0.827 5.042
-1.432 0.827 5.042
0.000 -1.654 5.042
Tc Mo H
1 1 2
Cartesian
0.000 0.000 0.000 Tc
0.000 0.000 12.308 Mo
0.000 0.000 6.028 H
0.000 0.000 8.873 H